Entry 1:
The following is a PBE-GGA calculation of a geometry-optimized LaNbNiP2 structure, from Alexandria.

Cell and atoms, written as POSCAR:
```
LaNbNiP2
1.0
-1.958 1.958 6.038
1.958 -1.958 6.038
1.958 1.958 -6.038
La Nb Ni P
1 1 1 2
direct
0.000 0.000 0.000
0.750 0.250 0.500
0.250 0.750 0.500
0.369 0.369 0.000
0.631 0.631 0.000
```

Results
DOS(E_F)	5.0	states/eV/f.u.
formation enthalpy at 0 K	-0.920	eV/atom

Entry 2:
The following is a PBE-GGA calculation of a geometry-optimized LaNb2NiRh structure, from Alexandria.

Cell and atoms, written as POSCAR:
```
LaNb2NiRh
1.0
4.919 0.000 0.000
0.000 4.919 0.000
0.000 0.000 4.729
La Nb Ni Rh
1 2 1 1
direct
0.000 0.000 0.000
0.000 0.500 0.000
0.500 0.000 0.000
0.500 0.500 0.500
0.000 0.000 0.500
```

Results
DOS(E_F)	8.2	states/eV/f.u.
formation enthalpy at 0 K	1.938	eV/atom

Entry 3:
The following is a PBE-GGA calculation of a geometry-optimized SrLa2NbNi structure, from Alexandria.

Cell and atoms, written as POSCAR:
```
SrLa2NbNi
1.0
5.361 0.000 0.000
0.000 5.361 0.000
0.000 0.000 5.512
Sr La Nb Ni
1 2 1 1
direct
0.000 0.000 0.000
0.000 0.500 0.500
0.500 0.000 0.500
0.500 0.500 0.000
0.000 0.000 0.500
```

Results
DOS(E_F)	8.2	states/eV/f.u.
formation enthalpy at 0 K	0.632	eV/atom

Entry 4:
The following is a PBE-GGA calculation of a geometry-optimized LaTaNb2Ni structure, from Alexandria.

Cell and atoms, written as POSCAR:
```
LaTaNb2Ni
1.0
4.985 0.000 0.000
0.000 4.985 0.000
0.000 0.000 4.399
La Ta Nb Ni
1 1 2 1
direct
0.000 0.000 0.000
0.500 0.500 0.500
0.000 0.500 0.000
0.500 0.000 0.000
0.000 0.000 0.500
```

Results
DOS(E_F)	7.1	states/eV/f.u.
formation enthalpy at 0 K	1.850	eV/atom

Entry 5:
The following is a PBE-GGA calculation of a geometry-optimized LaNbNiW2 structure, from Alexandria.

Cell and atoms, written as POSCAR:
```
LaNbNiW2
1.0
4.680 0.000 0.000
0.000 4.680 0.000
0.000 0.000 4.774
La Nb Ni W
1 1 1 2
direct
0.000 0.000 0.000
0.500 0.500 0.000
0.500 0.500 0.500
0.000 0.500 0.500
0.500 0.000 0.500
```

Results
DOS(E_F)	8.1	states/eV/f.u.
formation enthalpy at 0 K	1.109	eV/atom

Entry 6:
The following is a PBE-GGA calculation of a geometry-optimized LaNb3O9 structure, from Alexandria.

Cell and atoms, written as POSCAR:
```
LaNb3O9
1.0
5.689 0.000 0.000
-2.842 8.473 0.000
-2.839 -2.818 7.998
La Nb O
2 6 18
direct
0.000 0.000 0.000
0.338 0.998 0.679
0.001 0.749 0.256
0.329 0.740 0.928
0.333 0.250 0.422
0.650 0.735 0.576
0.677 0.264 0.102
0.997 0.258 0.749
0.133 0.499 0.838
0.135 0.764 0.086
0.138 0.999 0.337
0.139 0.229 0.588
0.278 0.226 0.916
0.313 0.767 0.437
0.439 0.998 0.987
0.446 0.232 0.240
0.467 0.496 0.503
0.473 0.771 0.761
0.621 0.232 0.590
0.659 0.767 0.088
0.774 0.226 0.913
0.791 0.000 0.691
0.806 0.503 0.175
0.835 0.769 0.437
0.966 0.230 0.241
0.973 0.772 0.765
```

Results
DOS(E_F)	0.0	states/eV/f.u.
uncorrected formation energy	-2.774	eV per atom
excess energy over the best structure of this formula in the dataset	17.0	meV/atom

Entry 7:
The following is a PBE-GGA calculation of a geometry-optimized La6NbO12 structure, from Alexandria.

Cell and atoms, written as POSCAR:
```
La6NbO12
1.0
5.184 2.993 3.320
-5.184 2.993 3.320
0.000 -5.986 3.320
La Nb O
6 1 12
direct
0.107 0.639 0.795
0.205 0.893 0.361
0.361 0.205 0.893
0.639 0.795 0.107
0.795 0.107 0.639
0.893 0.361 0.205
0.500 0.500 0.500
0.058 0.323 0.907
0.093 0.942 0.677
0.207 0.539 0.433
0.323 0.907 0.058
0.433 0.207 0.539
0.461 0.567 0.793
0.539 0.433 0.207
0.567 0.793 0.461
0.677 0.093 0.942
0.793 0.461 0.567
0.907 0.058 0.323
0.942 0.677 0.093
```

Results
DOS(E_F)	15.7	states/eV/f.u.
uncorrected formation energy	-3.239	eV per atom

Entry 8:
The following is a PBE-GGA calculation of a geometry-optimized La2Nb3O10 structure, from Alexandria.

Cell and atoms, written as POSCAR:
```
La2Nb3O10
1.0
9.590 -2.938 0.000
9.590 2.938 0.000
-3.193 0.000 7.150
La Nb O
4 6 20
direct
0.093 0.093 0.224
0.186 0.186 0.835
0.814 0.814 0.165
0.907 0.907 0.776
0.246 0.754 0.500
0.312 0.312 0.460
0.416 0.416 0.010
0.584 0.584 0.990
0.688 0.688 0.540
0.754 0.246 0.500
0.000 0.500 0.500
0.023 0.023 0.706
0.096 0.608 0.989
0.125 0.656 0.465
0.261 0.739 0.000
0.278 0.278 0.199
0.344 0.875 0.535
0.382 0.382 0.738
0.392 0.904 0.011
0.472 0.472 0.294
0.500 0.000 0.500
0.528 0.528 0.706
0.608 0.096 0.989
0.618 0.618 0.262
0.656 0.125 0.465
0.722 0.722 0.801
0.739 0.261 0.000
0.875 0.344 0.535
0.904 0.392 0.011
0.977 0.977 0.294
```

Results
DOS(E_F)	0.5	states/eV/f.u.
uncorrected formation energy	-2.850	eV per atom